No. 1
# BaCaBi3

A relaxed structure of BaCaBi3 (GGA-PBE, the Alexandria database).

abc: 15.4045 6.9576 6.7544
angles: 90.00 90.00 90.00
Space group Pnna (No. 52)
Symmetry-distinct sites (fractional):
Ba 0.2500 0.0000 0.0494 [4 per cell]
Ca 0.0008 0.2500 0.7500 [4 per cell]
Bi 0.0504 0.2500 0.2500 [4 per cell]
Bi 0.1463 0.5529 0.9324 [8 per cell]

Calculated values
Crystal system: orthorhombic
Size of the total moment, μB per formula unit: 0.00
Excess energy over the best structure of this formula in the dataset, meV per atom: 0
Energy, eV/atom: -3.808
D(E_F), states/eV per cell: 8.24

No. 2
# Tl2SiSb

A relaxed structure of Tl2SiSb (GGA-PBE, the Alexandria database).

abc: 3.9023 3.9023 6.9355
angles: 90.00 90.00 90.00
Space group P4/mmm (No. 123)
Symmetry-distinct sites (fractional):
Tl 0.0000 0.0000 0.2334 [2 per cell]
Si 0.5000 0.5000 0.0000 [1 per cell]
Sb 0.5000 0.5000 0.5000 [1 per cell]

Calculated values
Crystal system: tetragonal
Size of the total moment, μB per formula unit: 0.00
Excess energy over the best structure of this formula in the dataset, meV per atom: 283
ΔE_f (raw), kJ/mol of formula units: 168
Energy, eV/atom: -3.135
D(E_F), states/eV per cell: 2.77

No. 3
# Tc2Mo2Ru5

A relaxed structure of Tc2Mo2Ru5 (GGA-PBE, the Alexandria database).

abc: 8.6729 3.8676 8.2066
angles: 90.00 108.17 90.00
Space group C2/m (No. 12)
Symmetry-distinct sites (fractional):
Tc 0.1680 0.0000 0.0530 [4 per cell]
Mo 0.1547 0.0000 0.3831 [4 per cell]
Ru 0.0000 0.5000 0.5000 [2 per cell]
Ru 0.0038 0.5000 0.8320 [4 per cell]
Ru 0.1721 0.0000 0.7264 [4 per cell]

Calculated values
Crystal system: monoclinic
Size of the total moment, μB per formula unit: 0.00
Energy, eV/atom: -9.810
D(E_F), states/eV per cell: 20.91

No. 4
# NaAl3Au

A relaxed structure of NaAl3Au (GGA-PBE, the Alexandria database).

abc: 6.3490 6.3490 6.1720
angles: 90.00 90.00 120.00
Space group P6_3/mmc (No. 194)
Symmetry-distinct sites (fractional):
Na 0.3333 0.6667 0.2500 [2 per cell]
Al 0.1916 0.3833 0.7500 [6 per cell]
Au 0.0000 0.0000 0.0000 [2 per cell]

Calculated values
Crystal system: hexagonal
Size of the total moment, μB per formula unit: 0.00
Excess energy over the best structure of this formula in the dataset, meV per atom: 0
Energy, eV/atom: -3.154
D(E_F), states/eV per cell: 5.56

No. 5
# SrAlCo2H8

A relaxed structure of SrAlCo2H8 (GGA-PBE, the Alexandria database).

abc: 4.4258 4.4258 17.4900
angles: 90.00 90.00 120.00
Space group R-3 (No. 148, hexagonal axes)
Symmetry-distinct sites (fractional):
Sr 0.0000 0.0000 0.0000 [3 per cell]
Al 0.0000 0.0000 0.5000 [3 per cell]
Co 0.0000 0.0000 0.1941 [6 per cell]
H 0.0000 0.0000 0.2865 [6 per cell]
H 0.0156 0.7323 0.8801 [18 per cell]

Calculated values
Crystal system: trigonal
Size of the total moment, μB per formula unit: 0.00
Energy, eV/atom: -4.017
D(E_F), states/eV per cell: 8.33

No. 6
# USi4Pd4

A relaxed structure of USi4Pd4 (GGA-PBE, the Alexandria database).

abc: 6.0473 6.0473 8.1481
angles: 90.00 90.00 90.00
Space group P4_2/nmc (No. 137, origin choice 2)
Symmetry-distinct sites (fractional):
U 0.2500 0.7500 0.2500 [2 per cell]
Si 0.0436 0.2500 0.0631 [8 per cell]
Pd 0.0189 0.2500 0.3626 [8 per cell]

Calculated values
Crystal system: tetragonal
Size of the total moment, μB per formula unit: 3.00
ΔE_f (raw), kJ/mol of formula units: -376
Energy, eV/atom: -6.405
D(E_F), states/eV per cell: 15.99

No. 7
# AgH3Br

A relaxed structure of AgH3Br (GGA-PBE, the Alexandria database).

abc: 3.9567 3.9567 3.9567
angles: 90.00 90.00 90.00
Space group Pm-3m (No. 221)
Symmetry-distinct sites (fractional):
Ag 0.0000 0.0000 0.0000 [1 per cell]
H 0.0000 0.5000 0.5000 [3 per cell]
Br 0.5000 0.5000 0.5000 [1 per cell]

Calculated values
Crystal system: cubic
Size of the total moment, μB per formula unit: 0.00
Excess energy over the best structure of this formula in the dataset, meV per atom: 348
Energy, eV/atom: -1.814
D(E_F), states/eV per cell: 2.60

No. 8
# CrP2RhS

A relaxed structure of CrP2RhS (GGA-PBE, the Alexandria database).

abc: 4.4444 4.4444 4.8572
angles: 90.00 90.00 90.00
Space group P4/mmm (No. 123)
Symmetry-distinct sites (fractional):
Cr 0.0000 0.0000 0.0000 [1 per cell]
P 0.0000 0.5000 0.5000 [2 per cell]
Rh 0.5000 0.5000 0.5000 [1 per cell]
S 0.5000 0.5000 0.0000 [1 per cell]

Calculated values
Crystal system: tetragonal
Size of the total moment, μB per formula unit: 0.13
Excess energy over the best structure of this formula in the dataset, meV per atom: 514
ΔE_f (raw), kJ/mol of formula units: 529
Energy, eV/atom: -5.288
D(E_F), states/eV per cell: 6.83